# 1
This record from the Alexandria database describes Mg3Cu2 after structural relaxation. The functional is PBE-GGA.

Cell lengths 11.6205, 11.6205, 11.6205 Å; angles 14.61, 14.61, 14.61 degrees
Closest atoms and distances in Å follow each position.
Fractional positions:
Mg (0.7929, 0.7929, 0.7929)  3 Cu 2.75, 6 Mg 2.96
Mg (0.2071, 0.2071, 0.2071)  3 Cu 2.75, 6 Mg 2.96
Mg (0.0000, 0.0000, 0.0000)  6 Cu 2.78, 6 Mg 2.96
Cu (0.6030, 0.6030, 0.6030)  6 Mg 2.75-2.78, 6 Cu 2.96
Cu (0.3970, 0.3970, 0.3970)  6 Mg 2.75-2.78, 6 Cu 2.96

Output
Density (g/cm3): 3.819
Total DFT energy (no corrections) (eV per atom): -2.53
Offset from the most stable computed form (meV/atom): 150

# 2
This record from the Alexandria database describes Mg2Cu after structural relaxation. The functional is PBE-GGA.

Cell lengths 4.5379, 4.5379, 2.9882 Å; angles 90.00, 90.00, 120.00 degrees
Closest atoms and distances in Å follow each position.
Fractional positions:
Cu (0.0000, 0.0000, 0.0000)  6 Mg 2.75, 2 Cu 2.99
Mg (0.3333, 0.6667, 0.2827)  3 Cu 2.75, 5 Mg 2.92-2.99
Mg (0.6667, 0.3333, 0.7173)  3 Cu 2.75, 5 Mg 2.92-2.99

Output
Density (g/cm3): 3.495
Total DFT energy (no corrections) (eV per atom): -2.41

# 3
This record from the Alexandria database describes MgCu after structural relaxation. The functional is PBE-GGA.

Cell lengths 5.2145, 5.2145, 5.2620 Å; angles 90.00, 90.00, 90.00 degrees
Closest atoms and distances in Å follow each position.
Fractional positions:
Cu (0.1731, 0.8269, 0.5000)  1 Cu 2.55, 6 Mg 2.60-2.80
Cu (0.6731, 0.6731, 0.0000)  1 Cu 2.55, 6 Mg 2.60-2.80
Cu (0.8269, 0.1731, 0.5000)  1 Cu 2.55, 6 Mg 2.60-2.80
Cu (0.3269, 0.3269, 0.0000)  1 Cu 2.55, 6 Mg 2.60-2.80
Mg (0.6928, 0.6928, 0.5000)  6 Cu 2.60-2.80, 1 Mg 2.84
Mg (0.8072, 0.1928, 0.0000)  6 Cu 2.60-2.80, 1 Mg 2.84
Mg (0.1928, 0.8072, 0.0000)  6 Cu 2.60-2.80, 1 Mg 2.84
Mg (0.3072, 0.3072, 0.5000)  6 Cu 2.60-2.80, 1 Mg 2.84

Output
Density (g/cm3): 4.078
Total DFT energy (no corrections) (eV per atom): -2.66

# 4
This record from the Alexandria database describes Mg7Cu5 after structural relaxation. The functional is PBE-GGA.

Cell lengths 6.7793, 6.7793, 6.7793 Å; angles 108.65, 108.65, 111.12 degrees
Closest atoms and distances in Å follow each position.
Fractional positions:
Cu (0.8032, 0.2328, 0.0000)  1 Cu 2.43
Cu (0.2328, 0.2328, 0.4296)  1 Cu 2.43
Cu (0.8032, 0.8032, 0.5704)  1 Cu 2.43
Cu (0.2328, 0.8032, 0.0000)  1 Cu 2.43
Cu (0.9686, 0.9686, 0.0000)  4 Cu 2.43
Mg (0.7201, 0.4739, 0.7538)  5 Cu 2.72-2.86, 4 Mg 2.75-2.79
Mg (0.9664, 0.7201, 0.2462)  5 Cu 2.72-2.86, 4 Mg 2.75-2.79
Mg (0.4733, 0.9733, 0.5000)  4 Mg 2.76-2.79, 4 Cu 2.84
Mg (0.7201, 0.9664, 0.2462)  5 Cu 2.72-2.86, 4 Mg 2.75-2.79
Mg (0.4739, 0.7201, 0.7538)  5 Cu 2.72-2.86, 4 Mg 2.75-2.79
Mg (0.9733, 0.4733, 0.5000)  4 Mg 2.76-2.79, 4 Cu 2.84
Mg (0.3320, 0.3320, 0.0000)  1 Cu 2.79

Output
Density (g/cm3): 3.380
Total DFT energy (no corrections) (eV per atom): -2.38

# 5
This record from the Alexandria database describes Mg3Cu after structural relaxation. The functional is PBE-GGA.

Cell lengths 3.1956, 5.7514, 8.7219 Å; angles 90.00, 90.00, 106.13 degrees
Closest atoms and distances in Å follow each position.
Fractional positions:
Mg (0.5499, 0.0998, 0.2500)  2 Cu 2.72
Mg (0.8621, 0.7242, 0.0467)  3 Cu 2.70-2.86
Mg (0.1379, 0.2758, 0.9533)  3 Cu 2.70-2.86
Mg (0.1379, 0.2758, 0.5467)  3 Cu 2.70-2.86
Mg (0.4501, 0.9002, 0.7500)  2 Cu 2.72
Mg (0.8621, 0.7242, 0.4533)  3 Cu 2.70-2.86
Cu (0.2486, 0.4971, 0.2500)  8 Mg 2.70-2.86
Cu (0.7514, 0.5029, 0.7500)  8 Mg 2.70-2.86

Output
Density (g/cm3): 2.943
Total DFT energy (no corrections) (eV per atom): -2.27

# 6
This record from the Alexandria database describes Mg2Cu after structural relaxation. The functional is PBE-GGA.

Cell lengths 10.1278, 9.4170, 5.2799 Å; angles 81.92, 67.01, 31.07 degrees
Closest atoms and distances in Å follow each position.
Fractional positions:
Mg (0.9157, 0.5843, 0.9157)  4 Cu 2.71-2.74, 1 Mg 3.03
Mg (0.9144, 0.9144, 0.0856)  4 Cu 2.73-2.75, 2 Mg 3.00
Mg (0.0856, 0.0856, 0.9144)  4 Cu 2.73-2.75, 2 Mg 3.00
Mg (0.3343, 0.6657, 0.3343)  4 Cu 2.71-2.74, 1 Mg 3.03
Mg (0.5843, 0.9157, 0.5843)  4 Cu 2.71-2.74, 1 Mg 3.03
Mg (0.6657, 0.3343, 0.6657)  4 Cu 2.71-2.74, 1 Mg 3.03
Mg (0.1644, 0.1644, 0.3356)  4 Cu 2.73-2.75, 2 Mg 3.00
Mg (0.3356, 0.3356, 0.1644)  4 Cu 2.73-2.75, 2 Mg 3.00
Cu (0.6236, 0.6236, 0.8764)  2 Cu 2.64, 8 Mg 2.71-2.75
Cu (0.3736, 0.3736, 0.6264)  2 Cu 2.64, 8 Mg 2.71-2.75
Cu (0.8764, 0.8764, 0.6236)  2 Cu 2.64, 8 Mg 2.71-2.75
Cu (0.6264, 0.6264, 0.3736)  2 Cu 2.64, 8 Mg 2.71-2.75

Output
Density (g/cm3): 3.410
Total DFT energy (no corrections) (eV per atom): -2.56

# 7
This record from the Alexandria database describes Mg3Cu after structural relaxation. The functional is PBE-GGA.

Cell lengths 5.5454, 5.5454, 5.5454 Å; angles 116.96, 116.96, 116.96 degrees
Closest atoms and distances in Å follow each position.
Fractional positions:
Cu (0.0000, 0.0000, 0.0000)  6 Mg 2.90, 2 Cu 2.93
Mg (0.0000, 0.5000, 0.5000)  6 Mg 2.90-2.93, 2 Cu 2.90
Mg (0.5000, 0.0000, 0.5000)  6 Mg 2.90-2.93, 2 Cu 2.90
Mg (0.5000, 0.5000, 0.0000)  2 Cu 2.90, 6 Mg 2.90-2.93

Output
Density (g/cm3): 2.993
Total DFT energy (no corrections) (eV per atom): -2.15

# 8
This record from the Alexandria database describes MgCu after structural relaxation. The functional is PBE-GGA.

Cell lengths 5.0676, 5.0676, 5.0676 Å; angles 90.00, 90.00, 90.00 degrees
Closest atoms and distances in Å follow each position.
Fractional positions:
Cu (0.0000, 0.5000, 0.5000)  4 Mg 2.53
Cu (0.5000, 0.5000, 0.0000)  4 Mg 2.53
Cu (0.5000, 0.0000, 0.5000)  4 Mg 2.53
Mg (0.0000, 0.5000, 0.0000)  4 Cu 2.53
Mg (0.0000, 0.0000, 0.5000)  4 Cu 2.53
Mg (0.5000, 0.0000, 0.0000)  4 Cu 2.53

Output
Density (g/cm3): 3.363
Total DFT energy (no corrections) (eV per atom): -2.32

# 9
This record from the Alexandria database describes MgCu after structural relaxation. The functional is PBE-GGA.

Cell lengths 2.9282, 2.9282, 4.3183 Å; angles 90.00, 90.00, 120.00 degrees
Closest atoms and distances in Å follow each position.
Fractional positions:
Mg (0.3333, 0.6667, 0.5000)  6 Cu 2.74, 6 Mg 2.93
Cu (0.0000, 0.0000, 0.0000)  6 Mg 2.74, 6 Cu 2.93

Output
Density (g/cm3): 4.549
Total DFT energy (no corrections) (eV per atom): -2.79

# 10
This record from the Alexandria database describes Mg2Cu after structural relaxation. The functional is PBE-GGA.

Cell lengths 5.5547, 5.5547, 6.7938 Å; angles 73.01, 73.01, 32.90 degrees
Closest atoms and distances in Å follow each position.
Fractional positions:
Cu (0.9738, 0.9738, 0.0917)  2 Cu 2.62, 5 Mg 2.67-2.89
Cu (0.3053, 0.3053, 0.3506)  2 Cu 2.62, 5 Mg 2.67-2.87
Mg (0.3363, 0.3363, 0.9154)  3 Cu 2.67-2.87, 4 Mg 2.93-2.96
Mg (0.6386, 0.6386, 0.7223)  4 Cu 3.03-3.05, 9 Mg 3.08-3.39
Mg (0.6386, 0.6386, 0.2232)  4 Cu 2.70, 4 Mg 2.93
Mg (0.9406, 0.9406, 0.5301)  3 Cu 2.67-2.89, 4 Mg 2.93-2.96

Output
Density (g/cm3): 3.434
Total DFT energy (no corrections) (eV per atom): -2.44

# 11
This record from the Alexandria database describes MgCu4 after structural relaxation. The functional is PBE-GGA.

Cell lengths 2.7074, 2.7074, 10.4973 Å; angles 90.00, 90.00, 120.00 degrees
Closest atoms and distances in Å follow each position.
Fractional positions:
Cu (0.3333, 0.6667, 0.2124)  9 Cu 2.55-2.71, 3 Mg 2.72
Cu (0.6667, 0.3333, 0.4044)  12 Cu 2.54-2.71
Cu (0.6667, 0.3333, 0.7876)  9 Cu 2.55-2.71, 3 Mg 2.72
Cu (0.3333, 0.6667, 0.5956)  12 Cu 2.54-2.71
Mg (0.0000, 0.0000, 0.0000)  6 Mg 2.71, 6 Cu 2.72

Output
Density (g/cm3): 6.940
Total DFT energy (no corrections) (eV per atom): -3.50

# 12
This record from the Alexandria database describes MgCu after structural relaxation. The functional is PBE-GGA.

Cell lengths 7.2442, 7.2442, 7.2442 Å; angles 90.00, 90.00, 90.00 degrees
Closest atoms and distances in Å follow each position.
Fractional positions:
Mg (0.7500, 0.5000, 0.0000)  4 Cu 2.56
Mg (0.2500, 0.5000, 0.0000)  4 Cu 2.56
Mg (0.5000, 0.0000, 0.7500)  4 Cu 2.56
Mg (0.0000, 0.7500, 0.5000)  4 Cu 2.56
Mg (0.5000, 0.0000, 0.2500)  4 Cu 2.56
Mg (0.0000, 0.2500, 0.5000)  4 Cu 2.56
Cu (0.2500, 0.0000, 0.5000)  4 Mg 2.56
Cu (0.5000, 0.2500, 0.0000)  4 Mg 2.56
Cu (0.0000, 0.5000, 0.2500)  4 Mg 2.56
Cu (0.0000, 0.5000, 0.7500)  4 Mg 2.56
Cu (0.5000, 0.7500, 0.0000)  4 Mg 2.56
Cu (0.7500, 0.0000, 0.5000)  4 Mg 2.56

Output
Density (g/cm3): 2.302
Total DFT energy (no corrections) (eV per atom): -2.09

# 13
This record from the Alexandria database describes MgMnCu after structural relaxation. The functional is PBE-GGA.

Cell lengths 5.5031, 4.0296, 8.4119 Å; angles 90.00, 104.10, 90.00 degrees
Closest atoms and distances in Å follow each position.
Fractional positions:
Cu (0.7302, 0.0000, 0.4681)  6 Mn 2.61-2.83, 4 Mg 2.66-2.85, 2 Cu 2.81
Cu (0.7302, 0.5000, 0.9681)  6 Mn 2.61-2.83, 4 Mg 2.66-2.85, 2 Cu 2.81
Cu (0.0591, 0.0000, 0.1224)  4 Mn 2.58-2.75, 3 Mg 2.67-2.78, 2 Cu 2.81
Cu (0.0591, 0.5000, 0.6224)  4 Mn 2.58-2.75, 3 Mg 2.67-2.78, 2 Cu 2.81
Mn (0.9043, 0.0000, 0.7860)  6 Cu 2.61-2.83, 4 Mg 2.69-2.82, 2 Mn 2.73
Mn (0.5956, 0.5000, 0.6372)  4 Cu 2.58-2.70, 2 Mn 2.73, 3 Mg 2.74-2.75
Mn (0.5956, 0.0000, 0.1372)  4 Cu 2.58-2.70, 2 Mn 2.73, 3 Mg 2.74-2.75
Mn (0.9043, 0.5000, 0.2860)  6 Cu 2.61-2.83, 4 Mg 2.69-2.82, 2 Mn 2.73
Mg (0.4212, 0.0000, 0.8014)  5 Mn 2.69-2.82, 4 Cu 2.78-2.97, 3 Mg 2.80-2.83
Mg (0.2107, 0.5000, 0.9627)  5 Cu 2.66-2.85, 3 Mg 2.80-2.83, 2 Mn 2.81
Mg (0.4212, 0.5000, 0.3014)  5 Mn 2.69-2.82, 4 Cu 2.78-2.97, 3 Mg 2.80-2.83
Mg (0.2107, 0.0000, 0.4627)  5 Cu 2.66-2.85, 3 Mg 2.80-2.83, 2 Mn 2.81

Output
Density (g/cm3): 5.243
Total DFT energy (no corrections) (eV per atom): -4.78
Offset from the most stable computed form (meV/atom): 76

Number 1: energy of formation from the pure elements 1.58 kcal/mol of atoms. Number 2: energy of formation from the pure elements 0.49 kcal/mol of atoms. Number 3: energy of formation from the pure elements 4.20 kcal/mol of atoms. Number 4: energy of formation from the pure elements 5.92 kcal/mol of atoms. Number 5: energy of formation from the pure elements -1.15 kcal/mol of atoms. Number 6: energy of formation from the pure elements -2.93 kcal/mol of atoms. Number 7: energy of formation from the pure elements 1.63 kcal/mol of atoms. Number 8: energy of formation from the pure elements 12.22 kcal/mol of atoms. Number 9: energy of formation from the pure elements 1.24 kcal/mol of atoms. Number 10: energy of formation from the pure elements -0.16 kcal/mol of atoms. Number 11: energy of formation from the pure elements 2.16 kcal/mol of atoms. Number 12: energy of formation from the pure elements 17.46 kcal/mol of atoms. Number 13: energy of formation from the pure elements 3.97 kcal/mol of atoms.